[1]
# LaNbIO2

A geometry-optimized LaNbIO2 structure (PBE, Alexandria via LeMat-Bulk).

Summary:
ΔE_f (raw)   -0.49 eV per atom
Magnetization   0.130 μB per atom
Polymorph energy (0 for the lowest one)   820 meV per atom
Symmetry   P4/mmm, No. 123
Fermi-level density of states   9.6 states/eV/f.u.

abc: 4.374 4.374 6.660
angles: 90.00 90.00 90.00
Element x y z (fractional)
La: 0.000 0.000 0.000
Nb: 0.500 0.500 0.500
I: 0.000 0.000 0.500
O: 0.000 0.500 0.000
O: 0.500 0.000 0.000

[2]
# LaNbIO4

A geometry-optimized LaNbIO4 structure (PBE, Alexandria via LeMat-Bulk).

Summary:
ΔE_f (raw)   -2.51 eV per atom
Magnetization   0.000 μB per atom
Symmetry   C2/m, No. 12

abc: 7.255 7.255 7.273
angles: 102.58 102.58 55.88
Element x y z (fractional)
La: 0.208 0.208 0.331
La: 0.792 0.792 0.669
Nb: 0.126 0.126 0.746
Nb: 0.874 0.874 0.254
I: 0.474 0.474 0.810
I: 0.526 0.526 0.190
O: 0.023 0.023 0.296
O: 0.033 0.609 0.377
O: 0.188 0.188 0.005
O: 0.391 0.967 0.623
O: 0.609 0.033 0.377
O: 0.812 0.812 0.995
O: 0.967 0.391 0.623
O: 0.977 0.977 0.704

[3]
# LaNbPt2I

A geometry-optimized LaNbPt2I structure (PBE, Alexandria via LeMat-Bulk).

Summary:
ΔE_f (raw)   1.15 eV per atom
Magnetization   0.000 μB per atom
Symmetry   P4/mmm, No. 123
Fermi-level density of states   14.8 states/eV/f.u.

abc: 5.182 5.182 5.883
angles: 90.00 90.00 90.00
Element x y z (fractional)
La: 0.000 0.000 0.000
Nb: 0.500 0.500 0.500
Pt: 0.000 0.500 0.000
Pt: 0.500 0.000 0.000
I: 0.000 0.000 0.500

[4]
# LaNbSbI2

A geometry-optimized LaNbSbI2 structure (PBE, Alexandria via LeMat-Bulk).

Summary:
ΔE_f (raw)   0.52 eV per atom
Magnetization   0.624 μB per atom
Symmetry   P4/mmm, No. 123
Fermi-level density of states   11.4 states/eV/f.u.

abc: 6.080 6.080 6.339
angles: 90.00 90.00 90.00
Element x y z (fractional)
La: 0.000 0.000 0.000
Nb: 0.500 0.500 0.500
Sb: 0.000 0.000 0.500
I: 0.000 0.500 0.000
I: 0.500 0.000 0.000

[5]
# La2TaNbI

A geometry-optimized La2TaNbI structure (PBE, Alexandria via LeMat-Bulk).

Summary:
ΔE_f (raw)   1.27 eV per atom
Magnetization   0.180 μB per atom
Symmetry   P4/mmm, No. 123
Fermi-level density of states   10.3 states/eV/f.u.

abc: 5.805 5.805 5.022
angles: 90.00 90.00 90.00
Element x y z (fractional)
La: 0.000 0.500 0.000
La: 0.500 0.000 0.000
Ta: 0.000 0.000 0.500
Nb: 0.500 0.500 0.500
I: 0.500 0.500 0.000

[6]
# LaZr2NbI

A geometry-optimized LaZr2NbI structure (PBE, Alexandria via LeMat-Bulk).

Summary:
ΔE_f (raw)   0.55 eV per atom
Magnetization   0.000 μB per atom
Symmetry   P4/mmm, No. 123
Fermi-level density of states   5.8 states/eV/f.u.

abc: 5.096 5.096 6.059
angles: 90.00 90.00 90.00
Element x y z (fractional)
La: 0.000 0.000 0.000
Zr: 0.000 0.500 0.500
Zr: 0.500 0.000 0.500
Nb: 0.000 0.000 0.500
I: 0.500 0.500 0.000

[7]
# La2NdI6

A geometry-optimized La2NdI6 structure (PBE, Alexandria via LeMat-Bulk).

Summary:
ΔE_f (raw)   -1.26 eV per atom
Magnetization   0.096 μB per atom
Polymorph energy (0 for the lowest one)   101 meV per atom
Symmetry   P4_2/mnm, No. 136
Fermi-level density of states   6.1 states/eV/f.u.

abc: 8.127 8.127 12.261
angles: 90.00 90.00 90.00
Element x y z (fractional)
La: 0.000 0.000 0.172
La: 0.000 0.000 0.828
La: 0.500 0.500 0.328
La: 0.500 0.500 0.672
Nd: 0.000 0.000 0.500
Nd: 0.500 0.500 0.000
I: 0.216 0.216 0.336
I: 0.216 0.216 0.664
I: 0.217 0.217 0.000
I: 0.283 0.717 0.500
I: 0.284 0.716 0.164
I: 0.284 0.716 0.836
I: 0.716 0.284 0.164
I: 0.716 0.284 0.836
I: 0.717 0.283 0.500
I: 0.783 0.783 0.000
I: 0.784 0.784 0.336
I: 0.784 0.784 0.664

[8]
# La3NdI8

A geometry-optimized La3NdI8 structure (PBE, Alexandria via LeMat-Bulk).

Summary:
ΔE_f (raw)   -1.36 eV per atom
Magnetization   0.000 μB per atom
Symmetry   C2/m, No. 12
Fermi-level density of states   7.7 states/eV/f.u.

abc: 8.601 8.601 9.604
angles: 116.91 116.91 60.06
Element x y z (fractional)
La: 0.000 0.000 0.000
La: 0.000 0.500 0.000
La: 0.500 0.000 0.000
Nd: 0.500 0.500 0.000
I: 0.250 0.250 0.748
I: 0.250 0.744 0.748
I: 0.253 0.253 0.256
I: 0.256 0.750 0.252
I: 0.744 0.250 0.748
I: 0.747 0.747 0.744
I: 0.750 0.256 0.252
I: 0.750 0.750 0.252